1.
Computed, not measured: KHfAs2 after structural relaxation at the PBE-GGA level of DFT.

Cell lengths 7.060, 7.060, 7.060 Å; angles 90.00, 90.00, 90.00 degrees
Space group Fm-3m (No. 225)
Symmetry-distinct sites (fractional):
K: 0.000 0.000 0.000 (multiplicity 4)
Hf: 0.000 0.000 0.500 (multiplicity 4)
As: 0.250 0.250 0.250 (multiplicity 8)

uncorrected energy	-5.178	eV per atom
density of states at the Fermi level	8.0	states/eV/cell
energy of formation from the pure elements	-0.0908	eV per atom
spin magnetization	0.0	μB per formula unit

***

2.
Computed, not measured: KHf3As after structural relaxation at the PBE-GGA level of DFT.

Cell lengths 4.911, 4.911, 4.911 Å; angles 90.00, 90.00, 90.00 degrees
Space group Pm-3m (No. 221)
Symmetry-distinct sites (fractional):
K: 0.000 0.000 0.000 (multiplicity 1)
Hf: 0.000 0.000 0.500 (multiplicity 3)
As: 0.500 0.500 0.500 (multiplicity 1)

uncorrected energy	-4.931	eV per atom
density of states at the Fermi level	9.5	states/eV/cell
energy of formation from the pure elements	2.1907	eV per atom
spin magnetization	0.0	μB per formula unit

***

3.
Computed, not measured: KHf2As2 after structural relaxation at the PBE-GGA level of DFT.

Cell lengths 5.120, 5.120, 10.008 Å; angles 90.00, 90.00, 90.00 degrees
Space group I4/mmm (No. 139)
Symmetry-distinct sites (fractional):
K: 0.000 0.000 0.000 (multiplicity 2)
Hf: 0.000 0.000 0.336 (multiplicity 4)
As: 0.000 0.500 0.250 (multiplicity 4)

uncorrected energy	-6.363	eV per atom
density of states at the Fermi level	9.2	states/eV/cell
energy of formation from the pure elements	-0.3020	eV per atom
spin magnetization	0.0	μB per formula unit

***

4.
Computed, not measured: KHf2As2 after structural relaxation at the PBE-GGA level of DFT.

Cell lengths 8.044, 8.044, 3.380 Å; angles 90.00, 90.00, 90.00 degrees
Space group P4/mbm (No. 127)
Symmetry-distinct sites (fractional):
K: 0.000 0.000 0.000 (multiplicity 2)
Hf: 0.126 0.374 0.000 (multiplicity 4)
As: 0.156 0.656 0.500 (multiplicity 4)

uncorrected energy	-6.328	eV per atom
density of states at the Fermi level	6.1	states/eV/cell
energy of formation from the pure elements	-0.2674	eV per atom
spin magnetization	0.0	μB per formula unit

***

Which value of energy of formation from the pure elements does entry 4 give? -0.2674 eV per atom